(1)
VASP calculation (PBE) on Th6RhS5 after structural relaxation.

Summary:
Final energy, eV per atom: -7.698
Total magnetization, μB/cell: 0.0
Density of states at the Fermi level, states/eV per cell: 17.1
Formation energy from raw total energies, kcal/mol of atoms: -38.19
Theoretical density, g cm⁻³: 9.6

a = 7.055 Å, b = 12.230 Å, c = 7.060 Å
α = 90.00°, β = 109.62°, γ = 90.00°
Space group C2/m (No. 12)
Asymmetric unit:
Th (0.249, 0.000, 0.251) x4
Th (0.250, 0.166, 0.751) x8
Rh (0.000, 0.500, 0.000) x2
S (0.000, 0.000, 0.500) x2
S (0.000, 0.167, 0.000) x4
S (0.000, 0.334, 0.500) x4

---

(2)
VASP calculation (PBE) on ThRhS2 after structural relaxation.

Summary:
Final energy, eV per atom: -6.200
Total magnetization, μB/cell: 1.7
Density of states at the Fermi level, states/eV per cell: 13.3
Formation energy from raw total energies, kcal/mol of atoms: -10.22
Theoretical density, g cm⁻³: 7.3

a = 3.6469 Å, b = 3.6469 Å, c = 23.7086 Å
α = 90.00°, β = 90.00°, γ = 120.00°
Space group R-3m (No. 166, hexagonal axes)
Asymmetric unit:
Th (0.0000, 0.0000, 0.0000) x3
Rh (0.0000, 0.0000, 0.5000) x3
S (0.0000, 0.0000, 0.1171) x6

---

(3)
VASP calculation (PBE) on Th2RhS after structural relaxation.

Summary:
Final energy, eV per atom: -7.787
Total magnetization, μB/cell: 0.0
Density of states at the Fermi level, states/eV per cell: 12.1
Formation energy from raw total energies, kcal/mol of atoms: -27.84
Theoretical density, g cm⁻³: 9.7

a = 4.0078 Å, b = 4.0078 Å, c = 22.0770 Å
α = 90.00°, β = 90.00°, γ = 120.00°
Space group R3m (No. 160, hexagonal axes)
Asymmetric unit:
Th (0.0000, 0.0000, 0.0000) x3
Th (0.0000, 0.0000, 0.1814) x3
Rh (0.0000, 0.0000, 0.5921) x3
S (0.0000, 0.0000, 0.4227) x3

---

(4)
VASP calculation (PBE) on ThRh4S8 after structural relaxation.

Summary:
Final energy, eV per atom: -6.118
Total magnetization, μB/cell: 0.0
Formation energy from raw total energies, kcal/mol of atoms: -17.20
Theoretical density, g cm⁻³: 5.7

a = 7.2608 Å, b = 7.2608 Å, c = 17.2954 Å
α = 90.00°, β = 90.00°, γ = 120.00°
Space group R-3m (No. 166, hexagonal axes)
Asymmetric unit:
Th (0.0000, 0.0000, 0.0000) x3
Rh (0.0000, 0.0000, 0.5000) x3
Rh (0.0000, 0.5000, 0.5000) x9
S (0.0000, 0.0000, 0.2383) x6
S (0.0047, 0.5023, 0.2334) x18